The following is a DFT calculation (GGA+U) of crystalline CrTcP2O at its relaxed geometry.

Geometry as POSCAR:
```
CrTcP2O
1.0
4.725 0.000 0.000
0.000 4.725 0.000
0.000 0.000 3.454
Cr Tc O P
1 1 1 2
direct
0.000 0.000 0.000
0.500 0.500 0.500
0.000 0.000 0.500
0.000 0.500 0.000
0.500 0.000 0.000
```

Calculated values
Final energy (eV/atom): -6.329
Symmetry: P4/mmm
Excess energy over the best structure of this formula in the dataset (meV per atom): 0.0
DOS(E_F) (states/eV per atom): 0.43